Material: GaAs3Ru
Method: DFT, PBE
State: optimized geometry

The energy of formation from the pure elements is 2.35 eV per formula unit. The value obtained for the total magnetization is 0.00 μB per formula unit. The calculation puts the volume at 23.1 Å³ per atom.

The structure belongs to space group Pm-3m (No. 221); the cell edges are 4.870, 4.870 and 4.870 Å and the angles 90.00°, 90.00° and 90.00°. The distinct sites, in fractional coordinates, are Ga at (0.000, 0.000, 0.000), As at (0.000, 0.500, 0.500) and Ru at (0.500, 0.500, 0.500).